## AlTl3Au4 (GGA-PBE)

Data for a relaxed structure of AlTl3Au4.

abc: 6.6959 6.6959 7.3731
angles: 116.38 116.38 50.61
Last column: nearest neighbours and their distance in Å.
Fractional coordinates of all 8 atoms:
Al  0.0000  0.0000  0.0000  4 Au 2.48
Tl  0.2601  0.2601  0.8400  5 Au 2.92-3.26
Tl  0.5000  0.5000  0.5000  6 Au 2.83-3.17
Tl  0.7399  0.7399  0.1600  5 Au 2.92-3.26
Au  0.0473  0.0473  0.3671  1 Al 2.48, 1 Au 2.71
Au  0.2336  0.2336  0.2330  1 Al 2.48
Au  0.7664  0.7664  0.7670  1 Al 2.48
Au  0.9527  0.9527  0.6329  1 Al 2.48, 1 Au 2.71

Properties
As for the density: 10.7 g/cm³. Its formation energy is 0.018 eV/atom. The value obtained for the density of states at the Fermi level is 2.5 states/eV/cell. As for the volume: 27.81 Å³/atom.


## K3U2RhS6 (GGA-PBE)

Data for a relaxed structure of K3U2RhS6.

abc: 6.7477 6.7477 7.7754
angles: 98.30 98.30 119.98
Last column: nearest neighbours and their distance in Å.
Fractional coordinates of all 12 atoms:
K  0.0000  0.0000  0.0000  6 S 3.16-3.21
K  0.3348  0.6652  0.0000  6 S 3.15-3.22
K  0.6652  0.3348  0.0000  6 S 3.15-3.22
U  0.1668  0.8332  0.5000  6 S 2.72
U  0.8332  0.1668  0.5000  6 S 2.72
Rh  0.5000  0.5000  0.5000  6 S 2.65-2.66
S  0.1074  0.4334  0.3004  1 Rh 2.66, 2 U 2.72
S  0.2403  0.2403  0.6988  1 Rh 2.65, 2 U 2.72
S  0.4334  0.1074  0.3004  1 Rh 2.66, 2 U 2.72
S  0.5666  0.8926  0.6996  1 Rh 2.66, 2 U 2.72
S  0.7597  0.7597  0.3012  1 Rh 2.65, 2 U 2.72
S  0.8926  0.5666  0.6996  1 Rh 2.66, 2 U 2.72

Properties
As for the density: 5.0 g/cm³. The value obtained for the density of states at the Fermi level is 14.9 states/eV/cell. The uncorrected formation energy is -1154 meV/atom. As for the volume: 24.47 Å³/atom.


- Which formula does entry 1 have?
  AlTl3Au4


- Number 1 is which compound?
  AlTl3Au4